KPbAuSe2: optimized geometry, GGA-PBE.

Output
Raw formation energy   -2.95 eV per formula unit
Raw total energy   -18.01 eV per formula unit
Total magnetization   0.00 Bohr magnetons per cell
DOS(E_F)   0.00 states/eV/cell

abc: 5.6190 7.6782 8.6374
angles: 116.39 90.00 90.00
Closest atoms and distances in Å follow each position.
Positions (direct):
Se1 0.2609 0.3723 0.7447  1 Au 2.46
Se2 0.7391 0.6277 0.2553  1 Au 2.46
Se3 0.2609 0.1277 0.2553  1 Au 2.46
Se4 0.7391 0.8723 0.7447  1 Au 2.46
K1 0.7688 0.2500 0.5000  4 Se 3.35-3.42
K2 0.2312 0.7500 0.5000  4 Se 3.35-3.42
Au1 0.0000 0.0000 0.0000  2 Se 2.46
Au2 0.0000 0.5000 0.0000  2 Se 2.46
Pb1 0.5000 0.7500 0.0000  4 Se 3.06, 4 Au 3.40
Pb2 0.5000 0.2500 0.0000  4 Se 3.06, 4 Au 3.40